(1)
First-principles (PBE-GGA) data for a relaxed structure of Y3ErSc3S8, as listed in the Alexandria database.

Cell lengths 7.642, 7.642, 7.642 Å; angles 59.38, 59.38, 59.38 degrees
Element x y z (fractional)
Y  0.000  0.500  0.500
Y  0.500  0.000  0.500
Y  0.500  0.500  0.000
Er  0.500  0.500  0.500
Sc  0.000  0.000  0.500
Sc  0.000  0.500  0.000
Sc  0.500  0.000  0.000
S  0.236  0.753  0.753
S  0.245  0.245  0.245
S  0.247  0.247  0.764
S  0.247  0.764  0.247
S  0.753  0.236  0.753
S  0.753  0.753  0.236
S  0.755  0.755  0.755
S  0.764  0.247  0.247

ΔE_f (raw) in eV per atom: -1.987
Spin magnetization in μB per cell: 0.00
N(E_F) in states/eV/f.u.: 6.82
Space group: R-3m, No. 166
Energy in eV/atom: -7.05



(2)
First-principles (PBE-GGA) data for a relaxed structure of Tb8HSe4S3, as listed in the Alexandria database.

Cell lengths 8.026, 8.026, 8.026 Å; angles 59.04, 59.04, 59.04 degrees
Element x y z (fractional)
Tb  0.242  0.242  0.242
Tb  0.247  0.740  0.740
Tb  0.260  0.260  0.753
Tb  0.260  0.753  0.260
Tb  0.740  0.247  0.740
Tb  0.740  0.740  0.247
Tb  0.753  0.260  0.260
Tb  0.758  0.758  0.758
H  0.500  0.500  0.500
Se  0.000  0.000  0.000
Se  0.000  0.500  0.500
Se  0.500  0.000  0.500
Se  0.500  0.500  0.000
S  0.000  0.000  0.500
S  0.000  0.500  0.000
S  0.500  0.000  0.000

Spin magnetization in μB per cell: 0.00
N(E_F) in states/eV/f.u.: 7.69
Space group: R-3m, No. 166
Energy in eV/atom: -5.83



(3)
First-principles (PBE-GGA) data for a relaxed structure of Ba2DyMg16, as listed in the Alexandria database.

Cell lengths 8.106, 8.106, 8.106 Å; angles 82.73, 82.73, 82.73 degrees
Element x y z (fractional)
Ba  0.000  0.000  0.000
Ba  0.319  0.319  0.319
Dy  0.567  0.567  0.567
Mg  0.006  0.006  0.505
Mg  0.006  0.505  0.006
Mg  0.156  0.659  0.659
Mg  0.309  0.309  0.808
Mg  0.309  0.808  0.309
Mg  0.366  0.659  0.950
Mg  0.366  0.950  0.659
Mg  0.505  0.006  0.006
Mg  0.659  0.156  0.659
Mg  0.659  0.366  0.950
Mg  0.659  0.659  0.156
Mg  0.659  0.950  0.366
Mg  0.769  0.769  0.769
Mg  0.808  0.309  0.309
Mg  0.950  0.366  0.659
Mg  0.950  0.659  0.366

Spin magnetization in μB per cell: 0.00
Energy of formation from the pure elements in kJ/mol of formula units: -103
N(E_F) in states/eV/f.u.: 11.49
Space group: R3m, No. 160
Energy in eV/atom: -1.84



(4)
First-principles (PBE-GGA) data for a relaxed structure of AcErGaRu, as listed in the Alexandria database.

Cell lengths 5.147, 5.147, 5.147 Å; angles 60.00, 60.00, 60.00 degrees
Element x y z (fractional)
Ac  0.000  0.000  0.000
Er  0.500  0.500  0.500
Ga  0.750  0.750  0.750
Ru  0.250  0.250  0.250

Spin magnetization in μB per cell: 0.00
Energy of formation from the pure elements in kJ/mol of formula units: -92
N(E_F) in states/eV/f.u.: 2.86
Space group: F-43m, No. 216
Energy in eV/atom: -5.48



(5)
First-principles (PBE-GGA) data for a relaxed structure of La6CeDy2Y, as listed in the Alexandria database.

Cell lengths 7.039, 7.039, 9.019 Å; angles 107.77, 107.77, 58.40 degrees
Element x y z (fractional)
La  0.093  0.615  0.690
La  0.166  0.166  0.919
La  0.385  0.907  0.310
La  0.615  0.093  0.690
La  0.834  0.834  0.081
La  0.907  0.385  0.310
Ce  0.000  0.000  0.500
Dy  0.398  0.398  0.320
Dy  0.602  0.602  0.680
Y  0.500  0.500  0.000

Spin magnetization in μB per cell: 0.95
Energy of formation from the pure elements in kJ/mol of formula units: 219
N(E_F) in states/eV/f.u.: 22.78
Space group: C2/m, No. 12
Energy in eV/atom: -4.89



(6)
First-principles (PBE-GGA) data for a relaxed structure of CrInReP, as listed in the Alexandria database.

Cell lengths 4.254, 4.254, 5.872 Å; angles 99.15, 99.15, 41.17 degrees
Element x y z (fractional)
Cr  0.000  0.000  0.000
In  0.523  0.523  0.452
Re  0.278  0.278  0.772
P  0.726  0.726  0.069

Spin magnetization in μB per cell: 0.61
Energy of formation from the pure elements in kJ/mol of formula units: 117
N(E_F) in states/eV/f.u.: 3.65
Space group: Cm, No. 8
Energy in eV/atom: -7.25



(7)
First-principles (PBE-GGA) data for a relaxed structure of Pr4NiBi2, as listed in the Alexandria database.

Cell lengths 9.407, 9.407, 9.407 Å; angles 148.22, 148.22, 45.56 degrees
Element x y z (fractional)
Pr  0.000  0.500  0.500
Pr  0.171  0.171  0.000
Pr  0.500  0.000  0.500
Pr  0.829  0.829  0.000
Ni  0.000  0.000  0.000
Bi  0.362  0.362  0.000
Bi  0.638  0.638  0.000

Spin magnetization in μB per cell: 0.00
Energy of formation from the pure elements in kJ/mol of formula units: -359
N(E_F) in states/eV/f.u.: 5.28
Space group: I4/mmm, No. 139
Energy in eV/atom: -5.20



(8)
First-principles (PBE-GGA) data for a relaxed structure of RbCaBeSiPdSe, as listed in the Alexandria database.

Cell lengths 5.586, 5.586, 8.309 Å; angles 103.85, 103.85, 45.00 degrees
Element x y z (fractional)
Rb  0.000  0.000  0.000
Ca  0.815  0.815  0.459
Be  0.518  0.518  0.443
Si  0.634  0.634  0.706
Pd  0.111  0.111  0.587
Se  0.352  0.352  0.234

ΔE_f (raw) in eV per atom: -0.558
Spin magnetization in μB per cell: 0.00
N(E_F) in states/eV/f.u.: 0.73
Space group: Cm, No. 8
Energy in eV/atom: -4.02



(9)
First-principles (PBE-GGA) data for a relaxed structure of NdErMg6, as listed in the Alexandria database.

Cell lengths 5.211, 6.722, 6.722 Å; angles 60.14, 90.00, 90.00 degrees
Element x y z (fractional)
Nd  0.000  0.000  0.000
Er  0.500  0.668  0.668
Mg  0.000  0.005  0.498
Mg  0.000  0.498  0.005
Mg  0.000  0.499  0.499
Mg  0.500  0.172  0.172
Mg  0.500  0.174  0.657
Mg  0.500  0.657  0.174

Spin magnetization in μB per cell: 0.00
Energy of formation from the pure elements in kJ/mol of formula units: -56
N(E_F) in states/eV/f.u.: 8.28
Space group: Amm2, No. 38
Energy in eV/atom: -2.44



(10)
First-principles (PBE-GGA) data for a relaxed structure of CsTl3Au3, as listed in the Alexandria database.

Cell lengths 8.062, 8.062, 8.062 Å; angles 90.00, 90.00, 90.00 degrees
Element x y z (fractional)
Cs  0.000  0.000  0.000
Cs  0.500  0.500  0.500
Tl  0.000  0.250  0.500
Tl  0.000  0.750  0.500
Tl  0.250  0.500  0.000
Tl  0.500  0.000  0.250
Tl  0.500  0.000  0.750
Tl  0.750  0.500  0.000
Au  0.000  0.500  0.250
Au  0.000  0.500  0.750
Au  0.250  0.000  0.500
Au  0.500  0.250  0.000
Au  0.500  0.750  0.000
Au  0.750  0.000  0.500

Spin magnetization in μB per cell: 0.00
Energy of formation from the pure elements in kJ/mol of formula units: -27
N(E_F) in states/eV/f.u.: 4.25
Space group: Pm-3n, No. 223
Energy in eV/atom: -2.58



(11)
First-principles (PBE-GGA) data for a relaxed structure of CaSmZnIr, as listed in the Alexandria database.

Cell lengths 4.993, 4.993, 4.993 Å; angles 60.00, 60.00, 60.00 degrees
Element x y z (fractional)
Ca  0.000  0.000  0.000
Sm  0.500  0.500  0.500
Zn  0.750  0.750  0.750
Ir  0.250  0.250  0.250

Spin magnetization in μB per cell: 0.00
Energy of formation from the pure elements in kJ/mol of formula units: -151
N(E_F) in states/eV/f.u.: 3.69
Space group: F-43m, No. 216
Energy in eV/atom: -4.60



(12)
First-principles (PBE-GGA) data for a relaxed structure of Sc4HgRh5, as listed in the Alexandria database.

Cell lengths 3.241, 3.241, 16.106 Å; angles 90.00, 90.00, 90.00 degrees
Element x y z (fractional)
Sc  0.000  0.000  0.101
Sc  0.000  0.000  0.302
Sc  0.000  0.000  0.698
Sc  0.000  0.000  0.899
Hg  0.000  0.000  0.500
Rh  0.500  0.500  0.000
Rh  0.500  0.500  0.198
Rh  0.500  0.500  0.391
Rh  0.500  0.500  0.609
Rh  0.500  0.500  0.802

Spin magnetization in μB per cell: 0.00
Energy of formation from the pure elements in kJ/mol of formula units: -802
N(E_F) in states/eV/f.u.: 2.99
Space group: P4/mmm, No. 123
Energy in eV/atom: -7.07



What is the formula in the first record? Y3ErSc3S8